Entry 1:
Here is an optimized crystal structure of Y2PRu from Alexandria via LeMat-Bulk. Energies are from PBE.

Geometry as extended XYZ:
```
4
Lattice="3.987 0.000 0.000 0.000 4.007 0.002 0.000 2.001 5.274" Properties=species:S:1:pos:R:3 pbc="T T T"
Y 0.000 5.758 4.770
P 0.000 3.754 2.549
Ru 1.994 3.757 4.043
Y 1.994 1.751 1.829
```

Results
Symmetry: Amm2
Magnetization: 0.0 μB per formula unit

---

Entry 2:
Here is an optimized crystal structure of YPRu2 from Alexandria via LeMat-Bulk. Energies are from PBE.

Geometry as extended XYZ:
```
4
Lattice="3.957 0.000 0.000 0.000 3.910 -0.590 0.000 0.694 4.610" Properties=species:S:1:pos:R:3 pbc="T T T"
Ru 1.978 1.512 0.085
Ru 0.000 3.467 -0.208
P 1.978 3.983 3.216
Y 0.000 1.853 2.347
```

Results
Symmetry: P4mm
Magnetization: 0.0 μB per formula unit

---

Entry 3:
Here is an optimized crystal structure of Y2PRu from Alexandria via LeMat-Bulk. Energies are from PBE.

Geometry as extended XYZ:
```
4
Lattice="3.534 0.000 0.000 0.000 3.534 0.000 0.000 0.000 6.507" Properties=species:S:1:pos:R:3 pbc="T T T"
P 1.767 1.767 0.000
Ru 1.767 1.767 3.253
Y 0.000 0.000 1.594
Y 0.000 0.000 4.913
```

Results
Symmetry: P4/mmm
Magnetization: 0.2 μB per formula unit

---

Entry 4:
Here is an optimized crystal structure of YP12Ru4 from Alexandria via LeMat-Bulk. Energies are from PBE.

Geometry as extended XYZ:
```
17
Lattice="1.511 6.829 0.215 0.242 -2.235 -6.627 -6.418 -1.051 2.584" Properties=species:S:1:pos:R:3 pbc="T T T"
P -1.759 3.891 -2.784
P -4.910 1.058 0.872
Y 0.000 0.000 0.000
P 0.007 4.831 -1.628
Ru 0.121 -1.117 -3.313
P -1.761 -0.828 -4.712
P -3.163 0.824 -3.912
P -0.256 1.171 -2.867
P -4.672 -1.288 -2.200
Ru 0.756 3.415 0.108
P -1.501 2.719 0.084
Ru -3.209 -0.526 1.292
P 0.245 2.485 -4.700
Ru -2.332 1.772 -1.914
P -2.906 -0.348 -1.044
P -2.904 4.371 0.884
P -4.409 2.372 -0.961
```

Results
Symmetry: Im-3
Magnetization: 0.0 μB per formula unit

---

Entry 5:
Here is an optimized crystal structure of Y2PRu from Alexandria via LeMat-Bulk. Energies are from PBE.

Geometry as extended XYZ:
```
4
Lattice="4.764 0.000 0.000 0.000 4.764 0.000 0.000 0.000 3.581" Properties=species:S:1:pos:R:3 pbc="T T T"
Y 2.382 0.000 0.000
Y 0.000 2.382 0.000
P 2.382 2.382 1.791
Ru 0.000 0.000 1.791
```

Results
Symmetry: P4/mmm
Magnetization: 0.0 μB per formula unit

---

Entry 6:
Here is an optimized crystal structure of Y2P7Ru12 from Alexandria via LeMat-Bulk. Energies are from PBE.

Geometry as extended XYZ:
```
21
Lattice="3.952 0.000 0.000 0.000 8.157 -4.709 0.000 0.000 9.418" Properties=species:S:1:pos:R:3 pbc="T T T"
P 0.000 1.786 1.251
Ru 1.976 3.134 0.778
Ru 0.000 3.606 2.661
Ru 1.976 5.916 -2.384
Ru 0.000 0.501 4.966
P 0.000 2.719 4.709
Ru 0.000 6.184 3.333
P 1.976 5.027 2.283
P 0.000 0.191 7.246
Ru 1.976 1.727 3.323
Ru 0.000 7.951 -2.313
Ru 0.000 4.050 6.502
Y 0.000 5.438 0.000
Y 1.976 0.000 0.000
Ru 1.976 4.415 4.544
Ru 0.000 2.178 -1.020
Ru 1.976 7.263 1.606
P 1.976 3.666 -1.497
P 0.000 6.180 5.630
Ru 1.976 2.014 6.261
P 1.976 7.620 -0.786
```

Results
Symmetry: P-6
Magnetization: 0.0 μB per formula unit

---

Entry 7:
Here is an optimized crystal structure of YPRu2 from Alexandria via LeMat-Bulk. Energies are from PBE.

Geometry as extended XYZ:
```
4
Lattice="4.972 -2.101 -0.010 4.972 2.101 -0.010 4.091 0.000 3.520" Properties=species:S:1:pos:R:3 pbc="T T T"
Y 7.035 0.000 1.755
Ru 0.099 0.000 0.025
P 4.123 0.000 1.029
Ru 9.795 0.000 2.443
```

Results
Symmetry: R3m
Magnetization: 0.0 μB per formula unit

---

Entry 8:
Here is an optimized crystal structure of YP2Ru from Alexandria via LeMat-Bulk. Energies are from PBE.

Geometry as extended XYZ:
```
4
Lattice="5.948 -0.611 -0.365 5.085 3.144 -0.365 5.085 1.168 2.942" Properties=species:S:1:pos:R:3 pbc="T T T"
P 3.121 0.717 0.428
P 15.768 3.620 2.164
Y 12.216 2.805 1.676
Ru 9.191 2.110 1.261
```

Results
Symmetry: R3m
Magnetization: 0.0 μB per formula unit

---

Entry 9:
Here is an optimized crystal structure of YPRu2 from Alexandria via LeMat-Bulk. Energies are from PBE.

Geometry as extended XYZ:
```
4
Lattice="-0.476 3.988 -1.404 0.111 -1.400 -4.016 -3.473 -0.400 0.043" Properties=species:S:1:pos:R:3 pbc="T T T"
Ru -0.238 1.994 -0.702
P -1.736 -0.200 0.022
Y -1.919 1.094 -2.688
Ru 0.056 -0.700 -2.008
```

Results
Symmetry: P4/mmm
Magnetization: 0.0 μB per formula unit

---

Entry 10:
Here is an optimized crystal structure of YPRu2 from Alexandria via LeMat-Bulk. Energies are from PBE.

Geometry as extended XYZ:
```
4
Lattice="3.568 0.000 0.000 0.000 3.374 -0.003 0.000 1.492 5.901" Properties=species:S:1:pos:R:3 pbc="T T T"
P 1.784 0.746 2.951
Ru 0.000 1.395 4.206
Ru 0.000 3.471 1.692
Y 1.784 1.687 -0.002
```

Results
Symmetry: P2/m
Magnetization: 0.0 μB per formula unit

---

Entry 11:
Here is an optimized crystal structure of YP2Ru from Alexandria via LeMat-Bulk. Energies are from PBE.

Geometry as extended XYZ:
```
4
Lattice="-5.058 -3.782 1.413 -0.894 -6.268 1.341 3.298 5.481 0.983" Properties=species:S:1:pos:R:3 pbc="T T T"
P -1.953 -0.962 1.694
Y -0.552 -3.353 1.973
P -5.809 -9.807 2.688
Ru -3.269 -5.519 1.513
```

Results
Symmetry: Imm2
Magnetization: 0.0 μB per formula unit

---

Entry 12:
Here is an optimized crystal structure of YPRu2 from Alexandria via LeMat-Bulk. Energies are from PBE.

Geometry as extended XYZ:
```
4
Lattice="0.605 -2.518 4.479 1.809 2.722 4.011 -3.731 0.541 -3.543" Properties=species:S:1:pos:R:3 pbc="T T T"
Ru 0.000 0.000 0.000
Ru -0.358 1.682 2.357
Y 1.207 0.102 4.245
P -0.960 -0.937 2.591
```

Results
Symmetry: I-4m2
Magnetization: 0.0 μB per formula unit

---

Entry 13:
Here is an optimized crystal structure of YPRu2 from Alexandria via LeMat-Bulk. Energies are from PBE.

Geometry as extended XYZ:
```
4
Lattice="3.063 0.000 0.000 0.000 3.063 0.000 0.000 0.000 6.819" Properties=species:S:1:pos:R:3 pbc="T T T"
P 1.531 1.531 3.409
Ru 0.000 0.000 4.754
Y 1.531 1.531 0.000
Ru 0.000 0.000 2.065
```

Results
Symmetry: P4/mmm
Magnetization: 0.0 μB per formula unit

---

Entry 14:
Here is an optimized crystal structure of YPRu4 from Alexandria via LeMat-Bulk. Energies are from PBE.

Geometry as extended XYZ:
```
6
Lattice="0.000 3.685 3.685 3.685 0.000 3.685 3.685 3.685 0.000" Properties=species:S:1:pos:R:3 pbc="T T T"
Ru 2.755 2.755 2.755
Ru 4.615 2.755 4.615
Ru 4.615 4.615 2.755
Ru 2.755 4.615 4.615
Y 5.528 5.528 5.528
P 0.000 0.000 0.000
```

Results
Symmetry: F-43m
Magnetization: 0.0 μB per formula unit

---

Entry 15:
Here is an optimized crystal structure of YP2Ru from Alexandria via LeMat-Bulk. Energies are from PBE.

Geometry as extended XYZ:
```
4
Lattice="-2.652 1.114 2.693 0.817 -3.199 2.127 3.409 2.336 2.390" Properties=species:S:1:pos:R:3 pbc="T T T"
Y 1.844 -0.090 4.735
P 1.991 0.356 1.813
P 3.531 1.549 2.836
Ru -0.269 0.341 2.476
```

Results
Symmetry: P2/m
Magnetization: 0.0 μB per formula unit

---

Entry 16:
Here is an optimized crystal structure of Y2PRu from Alexandria via LeMat-Bulk. Energies are from PBE.

Geometry as extended XYZ:
```
4
Lattice="7.346 -1.891 -0.001 7.346 1.891 -0.001 6.860 0.000 3.238" Properties=species:S:1:pos:R:3 pbc="T T T"
Y 5.489 0.000 0.824
P 0.000 0.000 0.000
Ru 10.776 0.000 1.618
Y 16.063 0.000 2.411
```

Results
Symmetry: R-3m
Magnetization: 0.0 μB per formula unit

---

Entry 17:
Here is an optimized crystal structure of Y2PRu from Alexandria via LeMat-Bulk. Energies are from PBE.

Geometry as extended XYZ:
```
4
Lattice="6.078 -0.234 1.865 2.422 -2.829 5.158 -3.570 -0.541 -5.238" Properties=species:S:1:pos:R:3 pbc="T T T"
Y 1.503 -2.433 1.676
Ru 3.000 -1.016 -0.244
P 4.800 -1.730 3.966
Y 8.375 -3.018 6.920
```

Results
Symmetry: Imm2
Magnetization: 0.0 μB per formula unit

---

Entry 18:
Here is an optimized crystal structure of YP3Ru4 from Alexandria via LeMat-Bulk. Energies are from PBE.

Geometry as extended XYZ:
```
8
Lattice="4.024 0.000 0.000 0.000 4.024 0.000 0.000 0.000 7.544" Properties=species:S:1:pos:R:3 pbc="T T T"
P 2.012 2.012 2.537
Ru 2.012 0.000 1.404
Ru 2.012 0.000 6.140
P 0.000 0.000 0.000
P 2.012 2.012 5.007
Ru 0.000 2.012 6.140
Y 0.000 0.000 3.772
Ru 0.000 2.012 1.404
```

Results
Symmetry: P4/mmm
Magnetization: 0.0 μB per formula unit

---

Entry 19:
Here is an optimized crystal structure of YPRu2 from Alexandria via LeMat-Bulk. Energies are from PBE.

Geometry as extended XYZ:
```
4
Lattice="4.388 2.893 0.000 -4.388 2.893 0.000 0.000 1.551 2.590" Properties=species:S:1:pos:R:3 pbc="T T T"
Ru 2.194 1.446 0.000
P 0.000 3.668 1.296
Y 0.000 0.775 1.295
Ru -2.194 1.446 0.000
```

Results
Symmetry: C2/m
Magnetization: 0.0 μB per formula unit

---

Entry 20:
Here is an optimized crystal structure of YP2Ru from Alexandria via LeMat-Bulk. Energies are from PBE.

Geometry as extended XYZ:
```
4
Lattice="3.188 0.000 0.000 0.000 3.645 0.000 0.000 0.000 5.894" Properties=species:S:1:pos:R:3 pbc="T T T"
P 1.594 1.822 1.705
Y 1.594 1.822 4.639
Ru 0.000 0.000 2.437
P 0.000 0.000 0.061
```

Results
Symmetry: Pmm2
Magnetization: 0.0 μB per formula unit

---

Entry 21:
Here is an optimized crystal structure of Y2PRu from Alexandria via LeMat-Bulk. Energies are from PBE.

Geometry as extended XYZ:
```
4
Lattice="7.036 -2.034 -0.009 7.036 2.034 -0.009 6.453 0.000 3.465" Properties=species:S:1:pos:R:3 pbc="T T T"
Y 19.723 0.000 3.312
Y 16.191 0.000 2.719
P 10.982 0.000 1.844
Ru 4.417 0.000 0.742
```

Results
Symmetry: R3m
Magnetization: 0.0 μB per formula unit

---

Entry 22:
Here is an optimized crystal structure of YP3Ru from Alexandria via LeMat-Bulk. Energies are from PBE.

Geometry as extended XYZ:
```
5
Lattice="-0.199 -3.591 -2.920 3.085 -2.282 2.596 -3.451 -1.833 2.490" Properties=species:S:1:pos:R:3 pbc="T T T"
P 1.543 -1.141 1.298
P -0.100 -1.796 -1.460
Y -0.282 -3.853 1.083
P -1.725 -0.916 1.245
Ru 0.000 0.000 0.000
```

Results
Symmetry: Pm-3m
Magnetization: 0.0 μB per formula unit

---

Entry 23:
Here is an optimized crystal structure of YPRu2 from Alexandria via LeMat-Bulk. Energies are from PBE.

Geometry as extended XYZ:
```
4
Lattice="0.000 3.153 3.153 3.153 0.000 3.153 3.153 3.153 0.000" Properties=species:S:1:pos:R:3 pbc="T T T"
Ru 4.729 4.729 4.729
Y 3.153 3.153 3.153
P 0.000 0.000 0.000
Ru 1.576 1.576 1.576
```

Results
Symmetry: Fm-3m
Magnetization: 0.0 μB per formula unit

---

Entry 24:
Here is an optimized crystal structure of YPRu2 from Alexandria via LeMat-Bulk. Energies are from PBE.

Geometry as extended XYZ:
```
4
Lattice="-1.137 5.065 -2.109 -0.935 2.271 -5.037 -4.228 2.510 -2.687" Properties=species:S:1:pos:R:3 pbc="T T T"
Y -1.575 2.461 -2.458
Ru -0.275 0.429 -0.429
Ru -2.875 4.493 -4.487
P -4.725 7.384 -7.375
```

Results
Symmetry: R-3m
Magnetization: 0.0 μB per formula unit

---

Entry 25:
Here is an optimized crystal structure of Y2PRu from Alexandria via LeMat-Bulk. Energies are from PBE.

Geometry as extended XYZ:
```
4
Lattice="3.199 0.000 0.000 0.000 3.199 0.000 0.000 0.000 8.181" Properties=species:S:1:pos:R:3 pbc="T T T"
P 0.000 0.000 4.570
Ru 1.600 1.600 5.615
Y 0.000 0.000 7.721
Y 1.600 1.600 2.547
```

Results
Symmetry: P4mm
Magnetization: 0.0 μB per formula unit

---

Entry 26:
Here is an optimized crystal structure of YP2Ru from Alexandria via LeMat-Bulk. Energies are from PBE.

Geometry as extended XYZ:
```
8
Lattice="-1.054 -1.350 -5.003 4.647 -2.505 -0.303 -0.992 -7.350 -0.602" Properties=species:S:1:pos:R:3 pbc="T T T"
Ru -0.125 -5.314 -4.129
P 2.614 -3.458 -0.544
Y 1.797 -1.928 -2.653
Y 2.726 -5.892 -1.779
P 0.212 -6.748 -2.416
Ru 0.000 0.000 0.000
P 2.791 -9.097 -5.120
P -0.415 -3.108 -3.736
```

Results
Symmetry: I-42d
Magnetization: 0.0 μB per formula unit

---

Entry 27:
Here is an optimized crystal structure of Y3P3Ru from Alexandria via LeMat-Bulk. Energies are from PBE.

Geometry as extended XYZ:
```
14
Lattice="-2.329 0.915 3.209 -6.081 0.882 -4.664 -5.514 -9.082 -1.412" Properties=species:S:1:pos:R:3 pbc="T T T"
P -8.814 -6.580 -3.231
P -5.109 -0.705 0.363
Y -9.646 -1.629 -2.666
P -6.785 -6.733 0.865
Y -11.232 -7.317 -2.196
P -7.816 -3.651 -3.342
P -7.138 -0.552 -3.733
Y -2.691 0.032 -0.672
Ru -7.775 0.628 -1.952
P -6.107 -3.633 0.474
Y -5.489 -2.309 -2.036
Y -4.277 -5.656 -0.202
Y -8.434 -4.976 -0.833
Ru -6.148 -7.913 -0.916
```

Results
Symmetry: P2_1/m
Magnetization: 0.0 μB per formula unit

---

Entry 28:
Here is an optimized crystal structure of YPRu2 from Alexandria via LeMat-Bulk. Energies are from PBE.

Geometry as extended XYZ:
```
4
Lattice="-1.556 2.473 4.303 1.556 -2.473 4.303 1.556 2.473 -4.303" Properties=species:S:1:pos:R:3 pbc="T T T"
Y 1.556 0.000 0.000
Ru 0.000 0.000 2.530
P 0.000 2.473 0.000
Ru 0.000 0.000 6.077
```

Results
Symmetry: Immm
Magnetization: 0.0 μB per formula unit

---

no.,energy of formation (eV/atom)
1,-0.91
2,-0.43
3,-0.72
4,-0.63
5,-0.67
6,-0.76
7,-0.43
8,-0.88
9,-0.23
10,-0.29
11,-0.69
12,-0.16
13,-0.26
14,0.24
15,-0.80
16,-0.62
17,-0.70
18,-0.79
19,-0.01
20,-0.45
21,-0.70
22,-0.01
23,-0.26
24,-0.38
25,-0.40
26,-0.54
27,-1.09
28,-0.30